# PBE-GGA MgRuRh2, optimized geometry
data_MgRuRh2
_chemical_formula_sum 'Mg1 Ru1 Rh2'
_symmetry_space_group_name_H-M 'P 4/m m m'
_symmetry_Int_Tables_number 123
_symmetry_space_group_name_Hall '-P 4 2'
_cell_length_a 3.965
_cell_length_b 3.965
_cell_length_c 3.727
_cell_angle_alpha 90.00
_cell_angle_beta 90.00
_cell_angle_gamma 90.00
loop_
_atom_site_label
_atom_site_fract_x
_atom_site_fract_y
_atom_site_fract_z
_atom_site_occupancy
Mg1 0.000 0.000 0.000 1
Ru1 0.500 0.500 0.000 1
Rh1 0.000 0.500 0.500 1
# - calculated volume (Å³/atom) = 14.65
# - ΔH_f (0 K) (eV/f.u.) = -0.1
# - density of states at the Fermi level (states/eV per atom) = 1.76